*P*
# ZrGaRe, optimized geometry, DFT PBE-GGA
# - Magnetic moment: 0.0 μB per formula unit
data_ZrGaRe
_cell_length_a 6.269
_cell_length_b 6.269
_cell_length_c 6.269
_cell_angle_alpha 90.00
_cell_angle_beta 90.00
_cell_angle_gamma 90.00
_symmetry_space_group_name_H-M 'F -4 3 m'
_symmetry_Int_Tables_number 216
_symmetry_space_group_name_Hall 'F -4 2 3'
loop_
_atom_site_label
_atom_site_type_symbol
_atom_site_fract_x
_atom_site_fract_y
_atom_site_fract_z
Zr1 Zr 0.000 0.000 0.000
Ga1 Ga 0.000 0.000 0.500
Re1 Re 0.250 0.250 0.750

*Q*
# ZrGaRe, optimized geometry, DFT PBE-GGA
# - Magnetic moment: 0.0 μB per formula unit
data_ZrGaRe
_cell_length_a 6.336
_cell_length_b 6.336
_cell_length_c 6.336
_cell_angle_alpha 90.00
_cell_angle_beta 90.00
_cell_angle_gamma 90.00
_symmetry_space_group_name_H-M 'F -4 3 m'
_symmetry_Int_Tables_number 216
_symmetry_space_group_name_Hall 'F -4 2 3'
loop_
_atom_site_label
_atom_site_type_symbol
_atom_site_fract_x
_atom_site_fract_y
_atom_site_fract_z
Zr1 Zr 0.000 0.000 0.000
Ga1 Ga 0.250 0.250 0.750
Re1 Re 0.250 0.250 0.250

Which structure is most stable, and how do the rest compare? From most to least stable: *P*, *Q*.

*P*
# TaGaSb, optimized geometry, DFT PBE-GGA
# - Magnetic moment: 0.1 μB per formula unit
data_TaGaSb
_cell_length_a 6.539
_cell_length_b 6.539
_cell_length_c 6.539
_cell_angle_alpha 90.00
_cell_angle_beta 90.00
_cell_angle_gamma 90.00
_symmetry_space_group_name_H-M 'F -4 3 m'
_symmetry_Int_Tables_number 216
_symmetry_space_group_name_Hall 'F -4 2 3'
loop_
_atom_site_label
_atom_site_type_symbol
_atom_site_fract_x
_atom_site_fract_y
_atom_site_fract_z
Ta1 Ta 0.000 0.000 0.000
Ga1 Ga 0.250 0.250 0.750
Sb1 Sb 0.250 0.250 0.250

*Q*
# TaGaSb, optimized geometry, DFT PBE-GGA
# - Magnetic moment: 0.8 μB per formula unit
data_TaGaSb
_cell_length_a 6.583
_cell_length_b 6.583
_cell_length_c 6.583
_cell_angle_alpha 90.00
_cell_angle_beta 90.00
_cell_angle_gamma 90.00
_symmetry_space_group_name_H-M 'F -4 3 m'
_symmetry_Int_Tables_number 216
_symmetry_space_group_name_Hall 'F -4 2 3'
loop_
_atom_site_label
_atom_site_type_symbol
_atom_site_fract_x
_atom_site_fract_y
_atom_site_fract_z
Ta1 Ta 0.000 0.000 0.000
Ga1 Ga 0.000 0.000 0.500
Sb1 Sb 0.250 0.250 0.750

Which structure is most stable, and how do the rest compare? From most to least stable: *P*, *Q*.

*P*
# ZrGaSb, optimized geometry, DFT PBE-GGA
# - Magnetic moment: 0.2 μB per formula unit
data_ZrGaSb
_cell_length_a 6.772
_cell_length_b 6.772
_cell_length_c 6.772
_cell_angle_alpha 90.00
_cell_angle_beta 90.00
_cell_angle_gamma 90.00
_symmetry_space_group_name_H-M 'F -4 3 m'
_symmetry_Int_Tables_number 216
_symmetry_space_group_name_Hall 'F -4 2 3'
loop_
_atom_site_label
_atom_site_type_symbol
_atom_site_fract_x
_atom_site_fract_y
_atom_site_fract_z
Zr1 Zr 0.000 0.000 0.000
Ga1 Ga 0.250 0.250 0.750
Sb1 Sb 0.250 0.250 0.250

*Q*
# ZrGaSb, optimized geometry, DFT PBE-GGA
# - Magnetic moment: 0.0 μB per formula unit
data_ZrGaSb
_cell_length_a 6.841
_cell_length_b 6.841
_cell_length_c 6.841
_cell_angle_alpha 90.00
_cell_angle_beta 90.00
_cell_angle_gamma 90.00
_symmetry_space_group_name_H-M 'F -4 3 m'
_symmetry_Int_Tables_number 216
_symmetry_space_group_name_Hall 'F -4 2 3'
loop_
_atom_site_label
_atom_site_type_symbol
_atom_site_fract_x
_atom_site_fract_y
_atom_site_fract_z
Zr1 Zr 0.000 0.000 0.000
Ga1 Ga 0.000 0.000 0.500
Sb1 Sb 0.250 0.250 0.750

Which structure is most stable, and how do the rest compare? From most to least stable: *P*, *Q*.

*P*
# SmScGa, optimized geometry, DFT PBE-GGA
# - Magnetic moment: 0.0 μB per formula unit
data_SmScGa
_cell_length_a 6.948
_cell_length_b 6.948
_cell_length_c 6.948
_cell_angle_alpha 90.00
_cell_angle_beta 90.00
_cell_angle_gamma 90.00
_symmetry_space_group_name_H-M 'F -4 3 m'
_symmetry_Int_Tables_number 216
_symmetry_space_group_name_Hall 'F -4 2 3'
loop_
_atom_site_label
_atom_site_type_symbol
_atom_site_fract_x
_atom_site_fract_y
_atom_site_fract_z
Sm1 Sm 0.000 0.000 0.000
Sc1 Sc 0.250 0.250 0.250
Ga1 Ga 0.250 0.250 0.750

*Q*
# SmScGa, optimized geometry, DFT PBE-GGA
# - Magnetic moment: 0.0 μB per formula unit
data_SmScGa
_cell_length_a 6.873
_cell_length_b 6.873
_cell_length_c 6.873
_cell_angle_alpha 90.00
_cell_angle_beta 90.00
_cell_angle_gamma 90.00
_symmetry_space_group_name_H-M 'F -4 3 m'
_symmetry_Int_Tables_number 216
_symmetry_space_group_name_Hall 'F -4 2 3'
loop_
_atom_site_label
_atom_site_type_symbol
_atom_site_fract_x
_atom_site_fract_y
_atom_site_fract_z
Sm1 Sm 0.000 0.000 0.000
Sc1 Sc 0.000 0.000 0.500
Ga1 Ga 0.250 0.250 0.750

Which structure is most stable, and how do the rest compare? From most to least stable: *Q*, *P*.

*P*
# Sc2ZnGa, optimized geometry, DFT PBE-GGA
# - Magnetic moment: 0.0 μB per formula unit
data_Sc2ZnGa
_cell_length_a 6.695
_cell_length_b 6.709
_cell_length_c 6.669
_cell_angle_alpha 90.00
_cell_angle_beta 90.00
_cell_angle_gamma 90.00
_symmetry_space_group_name_H-M 'I m m a'
_symmetry_Int_Tables_number 74
_symmetry_space_group_name_Hall '-I 2b 2'
loop_
_atom_site_label
_atom_site_type_symbol
_atom_site_fract_x
_atom_site_fract_y
_atom_site_fract_z
Sc1 Sc 0.250 0.001 0.250
Zn1 Zn 0.000 0.250 0.501
Ga1 Ga 0.000 0.250 0.999

*Q*
# Sc2ZnGa, optimized geometry, DFT PBE-GGA
# - Magnetic moment: 0.0 μB per formula unit
data_Sc2ZnGa
_cell_length_a 4.6398
_cell_length_b 4.6398
_cell_length_c 9.1429
_cell_angle_alpha 90.00
_cell_angle_beta 90.00
_cell_angle_gamma 120.00
_symmetry_space_group_name_H-M 'P 63/m m c'
_symmetry_Int_Tables_number 194
_symmetry_space_group_name_Hall '-P 6c 2c'
loop_
_atom_site_label
_atom_site_type_symbol
_atom_site_fract_x
_atom_site_fract_y
_atom_site_fract_z
Sc1 Sc 0.3333 0.6667 0.0892
Zn1 Zn 0.0000 0.0000 0.0000
Ga1 Ga 0.3333 0.6667 0.7500

*R*
# Sc2ZnGa, optimized geometry, DFT PBE-GGA
# - Magnetic moment: 1.6 μB per formula unit
data_Sc2ZnGa
_cell_length_a 6.737
_cell_length_b 6.737
_cell_length_c 6.737
_cell_angle_alpha 90.00
_cell_angle_beta 90.00
_cell_angle_gamma 90.00
_symmetry_space_group_name_H-M 'F -4 3 m'
_symmetry_Int_Tables_number 216
_symmetry_space_group_name_Hall 'F -4 2 3'
loop_
_atom_site_label
_atom_site_type_symbol
_atom_site_fract_x
_atom_site_fract_y
_atom_site_fract_z
Sc1 Sc 0.000 0.000 0.000
Sc2 Sc 0.250 0.250 0.250
Zn1 Zn 0.000 0.000 0.500
Ga1 Ga 0.250 0.250 0.750

Which structure is most stable, and how do the rest compare? From most to least stable: *P*, *Q*, *R*.

*P*
# Sc2ZnGa, optimized geometry, DFT PBE-GGA
# - Magnetic moment: 0.9 μB per formula unit
data_Sc2ZnGa
_cell_length_a 4.6217
_cell_length_b 4.6217
_cell_length_c 9.4032
_cell_angle_alpha 90.00
_cell_angle_beta 90.00
_cell_angle_gamma 120.00
_symmetry_space_group_name_H-M 'P 63/m m c'
_symmetry_Int_Tables_number 194
_symmetry_space_group_name_Hall '-P 6c 2c'
loop_
_atom_site_label
_atom_site_type_symbol
_atom_site_fract_x
_atom_site_fract_y
_atom_site_fract_z
Sc1 Sc 0.3333 0.6667 0.0884
Zn1 Zn 0.3333 0.6667 0.7500
Ga1 Ga 0.0000 0.0000 0.0000

*Q*
# Sc2ZnGa, optimized geometry, DFT PBE-GGA
# - Magnetic moment: 0.1 μB per formula unit
data_Sc2ZnGa
_cell_length_a 4.3382
_cell_length_b 4.3382
_cell_length_c 9.8039
_cell_angle_alpha 90.00
_cell_angle_beta 90.00
_cell_angle_gamma 120.00
_symmetry_space_group_name_H-M 'P 63/m m c'
_symmetry_Int_Tables_number 194
_symmetry_space_group_name_Hall '-P 6c 2c'
loop_
_atom_site_label
_atom_site_type_symbol
_atom_site_fract_x
_atom_site_fract_y
_atom_site_fract_z
Sc1 Sc 0.3333 0.6667 0.0964
Zn1 Zn 0.0000 0.0000 0.2500
Ga1 Ga 0.3333 0.6667 0.7500

Which structure is most stable, and how do the rest compare? From most to least stable: *Q*, *P*.

*P*
# Sc2ZnGa, optimized geometry, DFT PBE-GGA
# - Magnetic moment: 0.0 μB per formula unit
data_Sc2ZnGa
_cell_length_a 6.684
_cell_length_b 6.684
_cell_length_c 6.684
_cell_angle_alpha 90.00
_cell_angle_beta 90.00
_cell_angle_gamma 90.00
_symmetry_space_group_name_H-M 'F m -3 m'
_symmetry_Int_Tables_number 225
_symmetry_space_group_name_Hall '-F 4 2 3'
loop_
_atom_site_label
_atom_site_type_symbol
_atom_site_fract_x
_atom_site_fract_y
_atom_site_fract_z
Sc1 Sc 0.250 0.250 0.250
Zn1 Zn 0.000 0.000 0.000
Ga1 Ga 0.000 0.000 0.500

*Q*
# Sc2ZnGa, optimized geometry, DFT PBE-GGA
# - Magnetic moment: 0.0 μB per formula unit
data_Sc2ZnGa
_cell_length_a 4.732
_cell_length_b 4.732
_cell_length_c 3.343
_cell_angle_alpha 90.00
_cell_angle_beta 90.00
_cell_angle_gamma 90.00
_symmetry_space_group_name_H-M 'P 4/m m m'
_symmetry_Int_Tables_number 123
_symmetry_space_group_name_Hall '-P 4 2'
loop_
_atom_site_label
_atom_site_type_symbol
_atom_site_fract_x
_atom_site_fract_y
_atom_site_fract_z
Sc1 Sc 0.000 0.500 0.000
Zn1 Zn 0.000 0.000 0.500
Ga1 Ga 0.500 0.500 0.500

Which structure is most stable, and how do the rest compare? From most to least stable: *P*, *Q*.

*P*
# Zr2Sc2Ga, optimized geometry, DFT PBE-GGA
# - Magnetic moment: 0.0 μB per formula unit
data_Zr2Sc2Ga
_cell_length_a 3.922
_cell_length_b 3.922
_cell_length_c 15.769
_cell_angle_alpha 90.00
_cell_angle_beta 90.00
_cell_angle_gamma 90.00
_symmetry_space_group_name_H-M 'I 4/m m m'
_symmetry_Int_Tables_number 139
_symmetry_space_group_name_Hall '-I 4 2'
loop_
_atom_site_label
_atom_site_type_symbol
_atom_site_fract_x
_atom_site_fract_y
_atom_site_fract_z
Zr1 Zr 0.000 0.500 0.250
Sc1 Sc 0.000 0.000 0.090
Ga1 Ga 0.000 0.000 0.500

*Q*
# Zr2Sc2Ga, optimized geometry, DFT PBE-GGA
# - Magnetic moment: 0.0 μB per formula unit
data_Zr2Sc2Ga
_cell_length_a 3.978
_cell_length_b 3.978
_cell_length_c 14.580
_cell_angle_alpha 90.00
_cell_angle_beta 90.00
_cell_angle_gamma 90.00
_symmetry_space_group_name_H-M 'I 4/m m m'
_symmetry_Int_Tables_number 139
_symmetry_space_group_name_Hall '-I 4 2'
loop_
_atom_site_label
_atom_site_type_symbol
_atom_site_fract_x
_atom_site_fract_y
_atom_site_fract_z
Zr1 Zr 0.000 0.000 0.085
Sc1 Sc 0.000 0.500 0.250
Ga1 Ga 0.000 0.000 0.500

Which structure is most stable, and how do the rest compare? From most to least stable: *Q*, *P*.

*P*
# Ta4GaSi, optimized geometry, DFT PBE-GGA
# - Magnetic moment: 0.0 μB per formula unit
data_Ta4GaSi
_cell_length_a 6.255
_cell_length_b 6.255
_cell_length_c 5.108
_cell_angle_alpha 90.00
_cell_angle_beta 90.00
_cell_angle_gamma 90.00
_symmetry_space_group_name_H-M 'I 4 2 2'
_symmetry_Int_Tables_number 97
_symmetry_space_group_name_Hall 'I 4 2'
loop_
_atom_site_label
_atom_site_type_symbol
_atom_site_fract_x
_atom_site_fract_y
_atom_site_fract_z
Ta1 Ta 0.160 0.340 0.250
Ga1 Ga 0.000 0.000 0.500
Si1 Si 0.000 0.000 0.000

*Q*
# Ta4GaSi, optimized geometry, DFT PBE-GGA
# - Magnetic moment: 0.0 μB per formula unit
data_Ta4GaSi
_cell_length_a 6.251
_cell_length_b 6.251
_cell_length_c 5.107
_cell_angle_alpha 90.00
_cell_angle_beta 90.00
_cell_angle_gamma 90.00
_symmetry_space_group_name_H-M 'P 4/m c c'
_symmetry_Int_Tables_number 124
_symmetry_space_group_name_Hall '-P 4 2c'
loop_
_atom_site_label
_atom_site_type_symbol
_atom_site_fract_x
_atom_site_fract_y
_atom_site_fract_z
Ta1 Ta 0.153 0.334 0.000
Ga1 Ga 0.500 0.500 0.250
Si1 Si 0.000 0.000 0.250

Which structure is most stable, and how do the rest compare? From most to least stable: *Q*, *P*.

*P*
# GaSiTc, optimized geometry, DFT PBE-GGA
# - Magnetic moment: 0.0 μB per formula unit
data_GaSiTc
_cell_length_a 5.739
_cell_length_b 5.739
_cell_length_c 5.739
_cell_angle_alpha 90.00
_cell_angle_beta 90.00
_cell_angle_gamma 90.00
_symmetry_space_group_name_H-M 'F -4 3 m'
_symmetry_Int_Tables_number 216
_symmetry_space_group_name_Hall 'F -4 2 3'
loop_
_atom_site_label
_atom_site_type_symbol
_atom_site_fract_x
_atom_site_fract_y
_atom_site_fract_z
Ga1 Ga 0.000 0.000 0.000
Si1 Si 0.250 0.250 0.250
Tc1 Tc 0.000 0.000 0.500

*Q*
# GaSiTc, optimized geometry, DFT PBE-GGA
# - Magnetic moment: 0.0 μB per formula unit
data_GaSiTc
_cell_length_a 4.538
_cell_length_b 8.052
_cell_length_c 4.521
_cell_angle_alpha 90.00
_cell_angle_beta 90.00
_cell_angle_gamma 90.00
_symmetry_space_group_name_H-M 'C m c m'
_symmetry_Int_Tables_number 63
_symmetry_space_group_name_Hall '-C 2c 2'
loop_
_atom_site_label
_atom_site_type_symbol
_atom_site_fract_x
_atom_site_fract_y
_atom_site_fract_z
Ga1 Ga 0.000 0.080 0.250
Si1 Si 0.000 0.408 0.250
Tc1 Tc 0.000 0.257 0.750

*R*
# GaSiTc, optimized geometry, DFT PBE-GGA
# - Magnetic moment: 0.0 μB per formula unit
data_GaSiTc
_cell_length_a 5.838
_cell_length_b 5.838
_cell_length_c 5.838
_cell_angle_alpha 90.00
_cell_angle_beta 90.00
_cell_angle_gamma 90.00
_symmetry_space_group_name_H-M 'F -4 3 m'
_symmetry_Int_Tables_number 216
_symmetry_space_group_name_Hall 'F -4 2 3'
loop_
_atom_site_label
_atom_site_type_symbol
_atom_site_fract_x
_atom_site_fract_y
_atom_site_fract_z
Ga1 Ga 0.000 0.000 0.000
Si1 Si 0.000 0.000 0.500
Tc1 Tc 0.250 0.250 0.250

Which structure is most stable, and how do the rest compare? From most to least stable: *Q*, *R*, *P*.

*P*
# Sm5Ga3, optimized geometry, DFT PBE-GGA
# - Magnetic moment: 0.0 μB per formula unit
data_Sm5Ga3
_cell_length_a 7.752
_cell_length_b 7.752
_cell_length_c 14.511
_cell_angle_alpha 90.00
_cell_angle_beta 90.00
_cell_angle_gamma 90.00
_symmetry_space_group_name_H-M 'I 4/m c m'
_symmetry_Int_Tables_number 140
_symmetry_space_group_name_Hall '-I 4 2c'
loop_
_atom_site_label
_atom_site_type_symbol
_atom_site_fract_x
_atom_site_fract_y
_atom_site_fract_z
Sm1 Sm 0.000 0.000 0.000
Sm2 Sm 0.172 0.328 0.149
Ga1 Ga 0.000 0.000 0.250
Ga2 Ga 0.119 0.381 0.500

*Q*
# Sm5Ga3, optimized geometry, DFT PBE-GGA
# - Magnetic moment: 0.0 μB per formula unit
data_Sm5Ga3
_cell_length_a 7.764
_cell_length_b 7.764
_cell_length_c 14.500
_cell_angle_alpha 90.00
_cell_angle_beta 90.00
_cell_angle_gamma 90.00
_symmetry_space_group_name_H-M 'P 4/n c c'
_symmetry_Int_Tables_number 130
loop_
_symmetry_equiv_pos_as_xyz
'x,y,z'
'-x,-y,-z'
'-y+1/2,x,z'
'y+1/2,-x,-z'
'-x+1/2,-y+1/2,z'
'x+1/2,y+1/2,-z'
'y,-x+1/2,z'
'-y,x+1/2,-z'
'x+1/2,-y,-z+1/2'
'-x+1/2,y,z+1/2'
'-y,-x,-z+1/2'
'y,x,z+1/2'
'-x,y+1/2,-z+1/2'
'x,-y+1/2,z+1/2'
'y+1/2,x+1/2,-z+1/2'
'-y+1/2,-x+1/2,z+1/2'
loop_
_atom_site_label
_atom_site_type_symbol
_atom_site_fract_x
_atom_site_fract_y
_atom_site_fract_z
Sm1 Sm 0.065 0.593 0.103
Sm2 Sm 0.250 0.250 0.222
Ga1 Ga 0.130 0.630 0.750
Ga2 Ga 0.250 0.250 0.007

Which structure is most stable, and how do the rest compare? From most to least stable: *Q*, *P*.